Record 1
Computed, not measured: a relaxed structure of MnCoOs2 at the PBE level of DFT.

Lattice parameters (Å, degrees): 8.724 2.659 4.485 90.00 100.10 90.00
Space group Cm (No. 8)
Symmetry-distinct sites (fractional):
1 Mn 0.000 0.000 0.000 (multiplicity 2)
2 Co 0.250 0.500 0.233 (multiplicity 2)
3 Os 0.250 0.000 0.740 (multiplicity 2)
4 Os 0.498 0.000 0.485 (multiplicity 2)

Calculated values
Electronic total energy: -76.62 eV/cell
Calculated volume: 102.4 Å³/cell
Energy relative to the lowest polymorph listed for this composition: 42 meV/atom
N(E_F): 9.37 states/eV per cell
E_form: 106 meV/atom

Record 2
Computed, not measured: a relaxed structure of Cd12CuAg3 at the PBE level of DFT.

Lattice parameters (Å, degrees): 4.278 4.278 17.951 90.00 90.00 90.00
Space group P4/mmm (No. 123)
Symmetry-distinct sites (fractional):
1 Cd 0.000 0.000 0.000 (multiplicity 1)
2 Cd 0.000 0.000 0.247 (multiplicity 2)
3 Cd 0.000 0.000 0.500 (multiplicity 1)
4 Cd 0.000 0.500 0.119 (multiplicity 4)
5 Cd 0.000 0.500 0.373 (multiplicity 4)
6 Cu 0.500 0.500 0.000 (multiplicity 1)
7 Ag 0.500 0.500 0.246 (multiplicity 2)
8 Ag 0.500 0.500 0.500 (multiplicity 1)

Calculated values
Electronic total energy: -23.31 eV/cell
Calculated volume: 328.5 Å³/cell
N(E_F): 5.47 states/eV per cell
E_form: 20 meV/atom